Entry from the Alexandria database: a crystal of MnSiAg2 relaxed with PBEsol (meta-GGA SCAN).

Calculated values
* space group: P4/mmm, No. 123
* energy relative to the elements, uncorrected: 0.076 eV per atom
* calculated volume: 60 Å³/cell

Structure (CIF):
```
data_MnSiAg2
_chemical_formula_sum 'Mn1 Si1 Ag2'
_symmetry_space_group_name_H-M 'P 1'
_symmetry_Int_Tables_number 1
_cell_length_a 3.799
_cell_length_b 3.799
_cell_length_c 4.143
_cell_angle_alpha 90.00
_cell_angle_beta 90.00
_cell_angle_gamma 90.00
loop_
_symmetry_equiv_pos_as_xyz
'x,y,z'
loop_
_atom_site_label
_atom_site_fract_x
_atom_site_fract_y
_atom_site_fract_z
_atom_site_occupancy
Mn1 0.000 0.000 0.000 1
Si1 0.500 0.500 0.000 1
Ag1 0.000 0.500 0.500 1
Ag2 0.500 0.000 0.500 1
```

Entry from the Alexandria database: a crystal of MnSiAg2 relaxed with PBEsol (meta-GGA SCAN).

Calculated values
* space group: P2/m, No. 10
* energy relative to the elements, uncorrected: 0.112 eV per atom
* calculated volume: 60 Å³/cell

Structure (CIF):
```
data_MnSiAg2
_chemical_formula_sum 'Mn1 Si1 Ag2'
_symmetry_space_group_name_H-M 'P 1'
_symmetry_Int_Tables_number 1
_cell_length_a 2.764
_cell_length_b 4.685
_cell_length_c 4.670
_cell_angle_alpha 90.00
_cell_angle_beta 92.50
_cell_angle_gamma 90.00
loop_
_symmetry_equiv_pos_as_xyz
'x,y,z'
loop_
_atom_site_label
_atom_site_fract_x
_atom_site_fract_y
_atom_site_fract_z
_atom_site_occupancy
Mn1 0.000 0.000 0.000 1
Si1 0.500 0.000 0.500 1
Ag1 0.273 0.500 0.749 1
Ag2 0.727 0.500 0.251 1
```

Number 1: magnetization 3.71 Bohr magnetons per cell. Number 2: magnetization 3.76 Bohr magnetons per cell.